First-principles (PBE) data for Np2AuSe2S2 after structural relaxation, as listed in the Alexandria database.

Formation energy from raw total energies, eV per atom: -0.97
D(E_F), states/eV/f.u.: 18.2
SG: P-3m1
Raw total energy, eV/atom: -7.31
V, Å³ per atom: 28.1

extended XYZ file:
```
7
Lattice="4.4401 0.0000 0.0000 -2.2201 3.8453 0.0000 0.0000 0.0000 11.5115" Properties=species:S:1:pos:R:3 pbc="T T T"
S 0.0000 2.5635 4.8045
S 2.2201 1.2817 6.7070
Np 2.2201 1.2817 3.9190
Np 0.0000 2.5635 7.5925
Se 0.0000 0.0000 2.4258
Au 0.0000 0.0000 0.0000
Se 0.0000 0.0000 9.0857
```

***

First-principles (PBE) data for LaSiPt4 after structural relaxation, as listed in the Alexandria database.

Formation energy from raw total energies, eV per atom: -0.57
D(E_F), states/eV/f.u.: 4.6
SG: F-43m
Raw total energy, eV/atom: -6.32
V, Å³ per atom: 18.7
Distance to the lowest polymorph of the same formula, meV/atom: 343.8

extended XYZ file:
```
6
Lattice="-1.4783 -3.8710 -3.4860 -5.2258 -0.6612 -1.2555 -1.7899 1.3379 -4.9324" Properties=species:S:1:pos:R:3 pbc="T T T"
Pt -5.7897 -1.5288 -4.2586
Pt -3.9261 -3.1251 -5.3679
Pt -3.1910 -1.2000 -3.6343
Si -6.3705 -2.3957 -7.2555
La 0.0000 0.0000 0.0000
Pt -4.0811 -0.5347 -6.0871
```

***

Number 1: total magnetic moment 1.00 μB per atom. Number 2: total magnetic moment 0.00 μB per atom.